18
Lattice="8.0528 -2.0411 0.0000 8.0528 2.0411 0.0000 -2.4278 0.0000 9.3643" Properties=species:S:1:pos:R:3 comment="GGA-PBE YGa3Cu2, optimized geometry" density_kg_m3=6880 delta_e_f_mev_per_atom=-397 energy_ev_per_atom=-4.3527 pbc="T T T"
Y 0.0000 0.0000 0.0000
Y 0.7890 0.0000 6.6156
Y 12.8887 0.0000 2.7487
Ga -0.0682 0.0000 3.3289
Ga 2.6372 0.0000 3.4034
Ga 5.5224 0.0000 0.5780
Ga 3.9329 0.0000 7.5876
Ga 6.8389 0.0000 4.6821
Ga 9.7448 0.0000 1.7767
Ga 8.1554 0.0000 8.7863
Ga 11.0405 0.0000 5.9609
Ga 13.7459 0.0000 6.0354
Cu 3.0779 0.0000 0.8164
Cu 4.3630 0.0000 5.1140
Cu 7.2844 0.0000 2.1978
Cu 6.3933 0.0000 7.1665
Cu 9.3147 0.0000 4.2503
Cu 10.5999 0.0000 8.5479

***

13
Lattice="-4.2949 4.2949 2.5233 4.2949 -4.2949 2.5233 4.2949 4.2949 -2.5233" Properties=species:S:1:pos:R:3 comment="GGA-PBE YGa4Cu8, optimized geometry" density_kg_m3=7814 delta_e_f_mev_per_atom=-177 energy_ev_per_atom=-4.1264 pbc="T T T"
Y 0.0000 0.0000 0.0000
Ga 2.1475 2.1475 -1.2617
Ga 2.1475 -2.1475 1.2617
Ga -2.1475 2.1475 1.2617
Ga 2.1475 2.1475 1.2617
Cu 3.0428 0.0000 0.0000
Cu 5.5471 0.0000 0.0000
Cu 4.2949 2.4237 0.0000
Cu 0.0000 3.0428 0.0000
Cu 2.4237 4.2949 0.0000
Cu 1.8712 0.0000 2.5233
Cu 0.0000 5.5471 0.0000
Cu 0.0000 1.8712 2.5233

***

18
Lattice="-4.7110 4.9032 5.0392 4.7110 -4.9032 5.0392 4.7110 4.9032 -5.0392" Properties=species:S:1:pos:R:3 comment="GGA-PBE Y6GaCu2, optimized geometry" density_kg_m3=5209 delta_e_f_mev_per_atom=-258 energy_ev_per_atom=-5.8138 pbc="T T T"
Y 4.7110 3.0351 -2.6093
Y 2.5990 1.7688 0.0000
Y 6.8230 1.7688 0.0000
Y 1.8506 4.9032 -1.7603
Y 2.8604 0.0000 3.2789
Y 0.0000 1.8681 2.4299
Y 4.7110 3.0351 2.6093
Y 1.8506 4.9032 1.7603
Y 2.8604 0.0000 6.7995
Y -2.1120 3.1344 5.0392
Y 2.1120 3.1344 5.0392
Y 0.0000 1.8681 7.6485
Ga 0.0000 0.0000 0.0000
Ga 0.0000 0.0000 5.0392
Cu 4.7110 0.0000 1.2055
Cu 0.0000 3.3700 0.0000
Cu 0.0000 6.4364 0.0000
Cu 0.0000 4.9032 3.8337

***

14
Lattice="5.3270 -2.1714 0.0000 5.3270 2.1714 0.0000 -5.0170 0.0000 13.3405" Properties=species:S:1:pos:R:3 comment="GGA-PBE Y3Ga3Cu, optimized geometry" density_kg_m3=5805 delta_e_f_mev_per_atom=-602 energy_ev_per_atom=-5.2551 pbc="T T T"
Y -1.4839 0.0000 5.1297
Y -3.5380 0.0000 12.3063
Y 1.4721 0.0000 3.0420
Y 4.1649 0.0000 10.2986
Y 9.1750 0.0000 1.0342
Y 7.1210 0.0000 8.2108
Ga 1.6012 0.0000 6.0852
Ga -0.5038 0.0000 12.3276
Ga 1.0916 0.0000 10.2224
Ga 4.5455 0.0000 3.1181
Ga 6.1409 0.0000 1.0129
Ga 4.0358 0.0000 7.2554
Cu -0.3729 0.0000 8.0887
Cu 6.0099 0.0000 5.2519

***

10
Lattice="3.4877 0.0000 0.0000 0.0000 3.4877 0.0000 0.0000 0.0000 17.6864" Properties=species:S:1:pos:R:3 comment="GGA-PBE Y5GaCu4, optimized geometry" density_kg_m3=5931 delta_e_f_mev_per_atom=-313 energy_ev_per_atom=-5.4866 pbc="T T T"
Y 0.0000 0.0000 0.0000
Y 0.0000 0.0000 3.4950
Y 0.0000 0.0000 6.9890
Y 0.0000 0.0000 10.6974
Y 0.0000 0.0000 14.1914
Ga 1.7438 1.7438 8.8432
Cu 1.7438 1.7438 1.7244
Cu 1.7438 1.7438 5.2404
Cu 1.7438 1.7438 12.4460
Cu 1.7438 1.7438 15.9620

***

3
Lattice="-1.6337 1.6337 5.3353 1.6337 -1.6337 5.3353 1.6337 1.6337 -5.3353" Properties=species:S:1:pos:R:3 comment="GGA-PBE YGaCu, optimized geometry" density_kg_m3=6477 delta_e_f_mev_per_atom=-270 energy_ev_per_atom=-4.7989 pbc="T T T"
Y 0.0000 0.0000 0.0000
Ga 0.0000 0.0000 7.4339
Cu 0.0000 0.0000 3.3458